No. 1
VASP calculation (PBE) on a relaxed structure of Na2Pa2GeN6.

extended XYZ file:
```
11
Lattice="-4.0526 -4.4393 -1.4015 1.3766 2.0290 5.6642 -3.6372 4.4937 -1.3190" Properties=species:S:1:pos:R:3 pbc="T T T"
N -2.2229 0.6767 4.0969
N -2.1865 3.6748 1.3243
N -4.0903 1.4067 -1.1532
N -1.7889 0.8982 0.5523
N -4.5243 1.1852 2.3915
N -4.1266 -1.5914 1.6194
Ge -1.8186 2.2469 -0.6595
Na -3.2647 -3.5006 -0.3761
Na 0.5887 1.0903 4.6388
Pa -4.0453 -0.0170 0.3153
Pa -2.2679 2.1004 2.6284
```

Summary:
Its space group is C2/m, No. 12. The value obtained for the energy relative to the elements, uncorrected is -467 meV/atom.

No. 2
VASP calculation (PBE) on a relaxed structure of NaPa2GeN5.

extended XYZ file:
```
18
Lattice="-3.1386 -2.4491 -4.0992 -3.5759 -3.1508 4.6204 -4.2406 5.1030 0.1980" Properties=species:S:1:pos:R:3 pbc="T T T"
N -6.7083 1.7848 2.1117
N -2.6514 -1.0368 0.6913
N -1.5693 -1.2246 -2.0496
N -4.2468 -2.2818 -1.3924
N -5.3875 -1.4712 3.0458
N -3.9721 2.2192 -0.2428
N -6.9830 -2.7161 0.9621
N -8.3037 0.5399 0.0280
N -5.5676 0.9743 -2.3265
N -5.4775 -0.2485 0.3596
Pa -6.1531 1.9422 -0.4320
Pa -3.5668 -0.1986 -1.1332
Pa -4.8020 -2.4391 1.1512
Pa -7.3883 -0.2983 1.8524
Ge -2.1203 2.5515 0.0990
Ge -1.7879 -1.5754 2.3102
Na 0.0000 0.0000 0.0000
Na -3.9082 0.9761 2.4092
```

Summary:
Its space group is P4/mbm, No. 127. The value obtained for the energy relative to the elements, uncorrected is -798 meV/atom.

No. 3
VASP calculation (PBE) on a relaxed structure of Na3Pa3GeN8.

extended XYZ file:
```
15
Lattice="-1.3829 -3.8614 -5.3038 6.6353 0.3926 2.2218 -4.6003 -3.5212 3.7631" Properties=species:S:1:pos:R:3 pbc="T T T"
Pa 1.0175 -1.5643 2.9924
Pa 0.3260 -3.4949 0.3406
Pa -2.9916 -3.6913 -0.7703
N 3.0000 -2.7836 3.5928
N -1.2022 -5.0476 -0.2494
N 1.8543 -1.9423 0.9305
N -0.2400 -3.2490 2.4280
N 2.2336 -4.9235 0.6536
N -2.3479 -4.2063 -2.9117
N 0.8921 -3.7409 -1.7469
N -1.5815 -2.0664 0.0275
Ge -2.3001 -1.7606 1.8815
Na 3.3176 0.1963 1.1109
Na 0.0000 0.0000 0.0000
Na 2.6262 -1.7344 -1.5410
```

Summary:
Its space group is C2/m, No. 12. The value obtained for the energy relative to the elements, uncorrected is -632 meV/atom.

No. 4
VASP calculation (PBE) on a relaxed structure of Na2ReGeN4.

extended XYZ file:
```
8
Lattice="5.5748 -0.4056 -0.6213 -2.7423 4.8706 0.6213 -2.7423 -1.3913 4.7088" Properties=species:S:1:pos:R:3 pbc="T T T"
N 3.2703 2.0444 0.3777
N 1.0075 0.9585 2.0639
N -1.8112 0.1609 3.0008
N -2.2862 2.9837 3.9753
Re -2.7423 1.7397 2.6651
Ge 0.0451 -0.0286 3.3763
Na 0.0451 3.1023 1.3325
Na 0.0000 0.0000 0.0000
```

Summary:
Its space group is I-4, No. 82. The value obtained for the energy relative to the elements, uncorrected is -162 meV/atom.

No. 5
VASP calculation (PBE) on a relaxed structure of NaGeSN2.

extended XYZ file:
```
5
Lattice="-0.5500 3.5459 2.3857 -4.2390 -0.7587 0.1504 0.6594 -2.8225 4.3472" Properties=species:S:1:pos:R:3 pbc="T T T"
N -2.1195 -0.3793 0.0752
N -0.2750 1.7729 1.1928
Ge -2.0648 -0.0177 3.4416
Na 0.0000 0.0000 0.0000
S 0.3297 -1.4113 2.1736
```

Summary:
Its space group is P4/mmm, No. 123. The energy above the most stable polymorph in this dataset is 523 kJ/mol of formula units. The value obtained for the energy relative to the elements, uncorrected is 1868 meV/atom.

No. 6
VASP calculation (PBE) on a relaxed structure of NaGeSN2.

extended XYZ file:
```
5
Lattice="-0.0662 1.1294 -3.7641 2.9490 -2.4741 -0.7942 -3.2806 -3.5837 -1.0175" Properties=species:S:1:pos:R:3 pbc="T T T"
S -1.6403 -1.7918 -0.5088
N -0.0331 0.5647 -1.8821
N 1.4745 -1.2371 -0.3971
Na -0.1989 -2.4642 -2.7879
Ge 0.0000 0.0000 0.0000
```

Summary:
Its space group is P4/mmm, No. 123. The energy above the most stable polymorph in this dataset is 0 kJ/mol of formula units. The value obtained for the energy relative to the elements, uncorrected is 784 meV/atom.

No. 7
VASP calculation (PBE) on a relaxed structure of NaGeSeN2.

extended XYZ file:
```
5
Lattice="3.9796 0.0000 0.0000 0.0000 3.9796 0.0000 0.0000 0.0000 5.2475" Properties=species:S:1:pos:R:3 pbc="T T T"
Ge 0.0000 0.0000 0.0000
Na 1.9898 1.9898 2.6238
N 1.9898 0.0000 0.0000
N 0.0000 1.9898 0.0000
Se 0.0000 0.0000 2.6238
```

Summary:
Its space group is P4/mmm, No. 123. The energy above the most stable polymorph in this dataset is 0 kJ/mol of formula units. The value obtained for the energy relative to the elements, uncorrected is 830 meV/atom.

No. 8
VASP calculation (PBE) on a relaxed structure of NaGeSeN2.

extended XYZ file:
```
5
Lattice="4.3541 0.0000 0.0000 0.0000 4.3541 0.0000 0.0000 0.0000 5.5156" Properties=species:S:1:pos:R:3 pbc="T T T"
Ge 2.1771 2.1771 2.7578
Na 0.0000 0.0000 0.0000
N 2.1771 0.0000 0.0000
N 0.0000 2.1771 0.0000
Se 0.0000 0.0000 2.7578
```

Summary:
Its space group is P4/mmm, No. 123. The energy above the most stable polymorph in this dataset is 473 kJ/mol of formula units. The value obtained for the energy relative to the elements, uncorrected is 1811 meV/atom.

No. 9
VASP calculation (PBE) on a relaxed structure of NaSiGe2N.

extended XYZ file:
```
5
Lattice="-2.4472 4.2874 -1.0601 -3.4469 -1.6955 1.1001 0.7306 1.5882 4.7369" Properties=species:S:1:pos:R:3 pbc="T T T"
Ge -1.2236 2.1437 -0.5300
Ge 0.3653 0.7941 2.3684
N -1.7235 -0.8477 0.5501
Na 0.0000 0.0000 0.0000
Si -2.5818 2.0900 2.3885
```

Summary:
Its space group is P4/mmm, No. 123. The value obtained for the energy relative to the elements, uncorrected is 1675 meV/atom.

No. 10
VASP calculation (PBE) on a relaxed structure of NaSn2GeN.

extended XYZ file:
```
5
Lattice="5.8865 0.0000 0.0000 0.0000 5.8865 0.0000 0.0000 0.0000 3.5849" Properties=species:S:1:pos:R:3 pbc="T T T"
N 0.0000 0.0000 1.7924
Na 2.9433 2.9433 1.7924
Ge 0.0000 0.0000 0.0000
Sn 2.9433 0.0000 0.0000
Sn 0.0000 2.9433 0.0000
```

Summary:
Its space group is P4/mmm, No. 123. The value obtained for the energy relative to the elements, uncorrected is 559 meV/atom.

No. 11
VASP calculation (PBE) on a relaxed structure of NaTa4GeN8.

extended XYZ file:
```
14
Lattice="6.1838 0.0000 0.0000 3.0919 5.3553 0.0000 3.0919 1.7851 5.1283" Properties=species:S:1:pos:R:3 pbc="T T T"
N 6.1838 5.3533 3.6867
N 4.6301 4.4673 1.4453
N 7.7375 4.4673 1.4453
N 3.0919 1.7851 1.3082
N 9.2757 5.3553 3.7643
N 6.1838 1.7762 1.4453
N 7.7280 2.6787 3.6867
N 4.6397 2.6787 3.6867
Ge 6.1838 3.5702 4.3578
Ta 1.5781 0.9111 2.5947
Ta 6.1838 3.5702 0.7023
Ta 4.6057 0.9111 2.5947
Ta 3.0919 3.5331 2.5947
Na 9.2757 5.3553 0.0210
```

Summary:
Its space group is R3m, No. 160. The value obtained for the energy relative to the elements, uncorrected is -683 meV/atom.

No. 12
VASP calculation (PBE) on a relaxed structure of NaGeTe2N.

extended XYZ file:
```
5
Lattice="5.8701 0.0000 0.0000 0.0000 3.5444 0.0000 0.0000 0.0000 5.8701" Properties=species:S:1:pos:R:3 pbc="T T T"
Ge 0.0000 0.0000 0.0000
Te 0.0000 0.0000 2.9351
Te 2.9351 0.0000 0.0000
N 0.0000 1.7722 0.0000
Na 2.9351 1.7722 2.9351
```

Summary:
Its space group is P4/mmm, No. 123. The energy above the most stable polymorph in this dataset is 0 kJ/mol of formula units. The value obtained for the energy relative to the elements, uncorrected is 295 meV/atom.

No. 13
VASP calculation (PBE) on a relaxed structure of NaGeTe2N.

extended XYZ file:
```
5
Lattice="-0.1341 -2.1325 -5.1983 -0.9009 -5.1243 2.1254 -4.2611 0.6791 -0.1687" Properties=species:S:1:pos:R:3 pbc="T T T"
Te -0.4504 -2.5622 1.0627
Te -0.0671 -1.0662 -2.5991
Na 0.0000 0.0000 0.0000
N -2.1305 0.3396 -0.0843
Ge -2.6480 -3.2888 -1.6208
```

Summary:
Its space group is P4/mmm, No. 123. The energy above the most stable polymorph in this dataset is 432 kJ/mol of formula units. The value obtained for the energy relative to the elements, uncorrected is 1190 meV/atom.

No. 14
VASP calculation (PBE) on a relaxed structure of Na2UGeN4.

extended XYZ file:
```
8
Lattice="-0.1714 1.5803 2.8756 -4.1968 -3.3231 1.5760 5.3247 -2.4726 1.6763" Properties=species:S:1:pos:R:3 pbc="T T T"
Ge 0.0000 0.0000 0.0000
N 0.0209 -0.3841 2.0895
N 3.0697 -2.9409 1.7992
N -1.9418 -2.8548 1.4531
N 0.9355 -3.8313 4.0385
U -2.1841 -0.8714 2.2258
Na 0.5639 -2.8978 1.6262
Na 2.5766 -0.4461 2.2760
```

Summary:
Its space group is P2/m, No. 10. The value obtained for the energy relative to the elements, uncorrected is -446 meV/atom.

No. 15
VASP calculation (PBE) on a relaxed structure of NaV2GeN.

extended XYZ file:
```
5
Lattice="4.9642 0.0000 0.0000 0.0000 4.0018 0.0000 0.0000 0.0000 4.9642" Properties=species:S:1:pos:R:3 pbc="T T T"
V 2.4821 0.0000 0.0000
V 0.0000 0.0000 2.4821
N 0.0000 2.0009 0.0000
Na 2.4821 2.0009 2.4821
Ge 0.0000 0.0000 0.0000
```

Summary:
Its space group is P4/mmm, No. 123. The value obtained for the energy relative to the elements, uncorrected is 1373 meV/atom.

No. 16
VASP calculation (PBE) on a relaxed structure of NaGeWN2.

extended XYZ file:
```
5
Lattice="-1.0404 -2.1112 -3.2513 -0.0526 -3.3584 2.1976 -4.5922 0.7253 0.9984" Properties=species:S:1:pos:R:3 pbc="T T T"
N -0.0263 -1.6792 1.0988
N -0.5202 -1.0556 -1.6257
W -2.8426 -2.3721 -0.0277
Ge 0.0000 0.0000 0.0000
Na -2.2961 0.3626 0.4992
```

Summary:
Its space group is P4/mmm, No. 123. The value obtained for the energy relative to the elements, uncorrected is 2317 meV/atom.

No. 17
VASP calculation (PBE) on a relaxed structure of NaZrGeN3.

extended XYZ file:
```
12
Lattice="3.2286 0.0000 0.0000 0.0000 6.6296 0.5970 0.0000 -1.1957 9.0031" Properties=species:S:1:pos:R:3 pbc="T T T"
Na 2.4215 4.7972 7.7524
Na 0.8072 0.6366 1.8478
Ge 2.4215 5.2280 4.3060
Ge 0.8072 0.2059 5.2942
N 0.8072 3.0127 8.5099
N 2.4215 2.4211 1.0902
N 2.4215 5.0358 2.5121
N 0.8072 4.9283 5.2894
N 2.4215 0.5056 4.3108
N 0.8072 0.3980 7.0881
Zr 2.4215 1.5638 8.0872
Zr 0.8072 3.8701 1.5130
```

Summary:
Its space group is P2_1/m, No. 11. The value obtained for the energy relative to the elements, uncorrected is -553 meV/atom.

No. 18
VASP calculation (PBE) on a relaxed structure of Nb6GeN.

extended XYZ file:
```
8
Lattice="-4.8574 3.0501 -1.6262 -3.9862 0.0435 2.7958 -2.8162 4.7972 5.0647" Properties=species:S:1:pos:R:3 pbc="T T T"
Nb -1.6827 1.1721 0.2819
Nb -7.0739 4.8814 5.6747
Nb -8.8578 5.9632 3.5247
Nb -9.9771 6.7187 5.9523
Nb -4.5859 3.0095 0.5595
Nb -2.8020 1.9277 2.7095
Ge -5.8299 3.9454 3.1171
N 0.0000 0.0000 0.0000
```

Summary:
Its space group is P-1, No. 2. The value obtained for the energy relative to the elements, uncorrected is -327 meV/atom.

No. 19
VASP calculation (PBE) on a relaxed structure of Nb3GeN.

extended XYZ file:
```
5
Lattice="4.2552 0.0000 0.0000 0.0000 4.2552 0.0000 0.0000 0.0000 4.2552" Properties=species:S:1:pos:R:3 pbc="T T T"
N 0.0000 0.0000 0.0000
Nb 2.1276 0.0000 0.0000
Nb 0.0000 0.0000 2.1276
Nb 0.0000 2.1276 0.0000
Ge 2.1276 2.1276 2.1276
```

Summary:
Its space group is Pm-3m, No. 221. The value obtained for the energy relative to the elements, uncorrected is -450 meV/atom.

No. 20
VASP calculation (PBE) on a relaxed structure of NbGe3N.

extended XYZ file:
```
5
Lattice="-3.6447 2.1921 -0.0974 -0.8126 -1.1730 4.0077 2.0382 3.4521 1.4236" Properties=species:S:1:pos:R:3 pbc="T T T"
Nb -1.2095 2.2356 2.6670
N 0.0000 0.0000 0.0000
Ge -0.4063 -0.5865 2.0039
Ge -1.8223 1.0960 -0.0487
Ge 1.0191 1.7261 0.7118
```

Summary:
Its space group is Pm-3m, No. 221. The energy above the most stable polymorph in this dataset is 0 kJ/mol of formula units. The value obtained for the energy relative to the elements, uncorrected is 629 meV/atom.

No. 21
VASP calculation (PBE) on a relaxed structure of Nb3GeN.

extended XYZ file:
```
10
Lattice="-3.2823 1.6121 0.6315 0.3078 -5.3177 4.2714 2.5581 2.8598 5.9957" Properties=species:S:1:pos:R:3 pbc="T T T"
N -2.3163 -2.3288 4.8090
N 1.8999 1.4830 6.0895
Nb 0.1324 1.6946 7.2658
Nb -1.3768 -0.9060 6.0606
Nb -0.6825 -0.8248 9.4618
Nb 0.9603 0.0602 4.8380
Nb -0.5488 -2.5404 3.6327
Nb 0.2661 -0.0210 1.4367
Ge 0.9044 -1.0728 7.4397
Ge -1.3208 0.2270 3.4588
```

Summary:
Its space group is C2/m, No. 12. The value obtained for the energy relative to the elements, uncorrected is -460 meV/atom.

No. 22
VASP calculation (PBE) on a relaxed structure of NbGe3N.

extended XYZ file:
```
5
Lattice="5.0385 0.0000 0.0000 0.0000 5.0385 0.0000 0.0000 0.0000 5.0385" Properties=species:S:1:pos:R:3 pbc="T T T"
Nb 0.0000 0.0000 0.0000
Ge 2.5192 0.0000 0.0000
Ge 0.0000 0.0000 2.5192
Ge 0.0000 2.5192 0.0000
N 2.5192 2.5192 2.5192
```

Summary:
Its space group is Pm-3m, No. 221. The energy above the most stable polymorph in this dataset is 338 kJ/mol of formula units. The value obtained for the energy relative to the elements, uncorrected is 1330 meV/atom.

No. 23
VASP calculation (PBE) on a relaxed structure of Nb4GeN2.

extended XYZ file:
```
7
Lattice="-2.7936 2.4256 -2.8048 -2.8979 -3.6191 -0.2436 -5.6603 1.3547 2.9666" Properties=species:S:1:pos:R:3 pbc="T T T"
Nb -1.4489 -1.8096 -0.1218
Nb -1.3968 1.2128 -1.4024
Nb -4.3019 0.4129 0.7993
Nb -7.0498 -0.2517 -0.8811
Ge 0.0000 0.0000 0.0000
N -3.3768 -0.2285 -0.6769
N -7.9749 0.3897 0.5950
```

Summary:
Its space group is I4/mmm, No. 139. The value obtained for the energy relative to the elements, uncorrected is 702 meV/atom.

No. 24
VASP calculation (PBE) on a relaxed structure of Nb4GeN.

extended XYZ file:
```
12
Lattice="-5.1755 -3.8338 -0.7913 5.2957 -3.5343 1.2548 -1.0904 3.9960 4.9953" Properties=species:S:1:pos:R:3 pbc="T T T"
N 0.0325 -1.9910 0.1252
N 2.1051 0.0819 3.1344
Nb 3.0272 -1.2548 4.5604
Nb -1.1214 -0.2177 0.7706
Nb 0.3046 0.5350 4.3124
Nb 1.2298 -1.4522 1.8890
Nb -5.1365 -0.1137 3.4644
Nb -2.3436 -1.9248 3.3560
Nb -1.2832 -3.3917 1.1140
Nb -3.8542 -2.0906 1.1108
Ge 0.0881 -5.3986 0.3396
Ge 2.1607 -3.3257 3.3488
```

Summary:
Its space group is I4_1md, No. 109. The value obtained for the energy relative to the elements, uncorrected is -97 meV/atom.

No. 25
VASP calculation (PBE) on a relaxed structure of NbGeN2O.

extended XYZ file:
```
5
Lattice="4.1118 0.0000 0.0000 0.0000 4.1118 0.0000 0.0000 0.0000 3.9904" Properties=species:S:1:pos:R:3 pbc="T T T"
Nb 0.0000 0.0000 0.0000
O 0.0000 0.0000 1.9952
N 0.0000 2.0559 0.0000
N 2.0559 0.0000 0.0000
Ge 2.0559 2.0559 1.9952
```

Summary:
Its space group is P4/mmm, No. 123. The value obtained for the energy relative to the elements, uncorrected is -179 meV/atom.